Density functional theory data (PBE) for a relaxed Rb2TeAsI6 crystal.

For the magnetization, the calculation gives 0.0 μB/cell. The calculation puts the formation energy without anion corrections at -612 meV per atom. The symmetry is No. 139.

```
Rb2TeAsI6
1.0
-5.3000 5.9764 -3.1250
-4.7228 -0.4518 7.1458
-1.6332 7.0680 4.5154
I As Te Rb
6 1 1 2
Cartesian
-3.3782 4.8439 3.2214
-8.2778 7.7487 5.3148
-2.5988 1.4325 1.0425
-7.4240 4.0921 2.9783
-5.1503 4.3096 -0.4619
-4.8725 1.2149 4.4828
-5.0114 2.7623 2.0104
0.0000 0.0000 0.0000
-5.9723 7.9033 1.7004
-5.6837 4.6892 6.8358
```